Density functional theory data (PBE-GGA) for CuHgMo2 after structural relaxation.

```
data_CuHgMo2
_cell_length_a 9.305
_cell_length_b 2.708
_cell_length_c 5.205
_cell_angle_alpha 90.00
_cell_angle_beta 95.89
_cell_angle_gamma 90.00
_symmetry_space_group_name_H-M 'C 1 m 1'
_symmetry_Int_Tables_number 8
_symmetry_space_group_name_Hall 'C -2y'
loop_
_atom_site_label
_atom_site_type_symbol
_atom_site_fract_x
_atom_site_fract_y
_atom_site_fract_z
Cu1 Cu 0.000 0.000 0.000
Hg1 Hg 0.251 0.000 0.767
Mo1 Mo 0.241 0.500 0.258
Mo2 Mo 0.499 0.000 0.471
```

Calculated values
**Size of the total moment**: 0.0 μB/cell
**Fermi-level density of states**: 0.68 states/eV/atom
**ΔE_f**: 468 meV per atom

Density functional theory data (PBE-GGA) for Tm2UTcC4 after structural relaxation.

```
data_Tm2UTcC4
_cell_length_a 3.398
_cell_length_b 11.720
_cell_length_c 11.924
_cell_angle_alpha 90.00
_cell_angle_beta 90.00
_cell_angle_gamma 90.00
_symmetry_space_group_name_H-M 'C m c m'
_symmetry_Int_Tables_number 63
_symmetry_space_group_name_Hall '-C 2c 2'
loop_
_atom_site_label
_atom_site_type_symbol
_atom_site_fract_x
_atom_site_fract_y
_atom_site_fract_z
Tm1 Tm 0.000 0.130 0.041
U1 U 0.000 0.401 0.250
Tc1 Tc 0.000 0.339 0.750
C1 C 0.000 0.057 0.250
C2 C 0.000 0.229 0.633
C3 C 0.000 0.500 0.000
```

Calculated values
**Size of the total moment**: 6.7 μB/cell
**Fermi-level density of states**: 1.03 states/eV/atom
**ΔE_f**: 13 meV per atom

Density functional theory data (PBE-GGA) for Pm5SmMg after structural relaxation.

```
data_Pm5SmMg
_cell_length_a 5.641
_cell_length_b 6.751
_cell_length_c 13.431
_cell_angle_alpha 95.59
_cell_angle_beta 90.12
_cell_angle_gamma 114.46
_symmetry_space_group_name_H-M 'P -1'
_symmetry_Int_Tables_number 2
_symmetry_space_group_name_Hall '-P 1'
loop_
_atom_site_label
_atom_site_type_symbol
_atom_site_fract_x
_atom_site_fract_y
_atom_site_fract_z
Pm1 Pm 0.065 0.130 0.133
Pm2 Pm 0.065 0.130 0.633
Pm3 Pm 0.242 0.485 0.425
Pm4 Pm 0.242 0.485 0.926
Pm5 Pm 0.365 0.730 0.694
Sm1 Sm 0.365 0.730 0.194
Mg1 Mg 0.500 0.000 0.000
Mg2 Mg 0.500 0.000 0.500
```

Calculated values
**Size of the total moment**: 0.0 μB/cell
**Fermi-level density of states**: 1.29 states/eV/atom
**ΔE_f**: 19 meV per atom

Density functional theory data (PBE-GGA) for AcDySbO5 after structural relaxation.

```
data_AcDySbO5
_cell_length_a 7.844
_cell_length_b 9.780
_cell_length_c 8.326
_cell_angle_alpha 90.00
_cell_angle_beta 117.83
_cell_angle_gamma 90.00
_symmetry_space_group_name_H-M 'C 1 2/c 1'
_symmetry_Int_Tables_number 15
_symmetry_space_group_name_Hall '-C 2yc'
loop_
_atom_site_label
_atom_site_type_symbol
_atom_site_fract_x
_atom_site_fract_y
_atom_site_fract_z
Ac1 Ac 0.000 0.184 0.250
Dy1 Dy 0.000 0.500 0.000
Sb1 Sb 0.000 0.193 0.750
O1 O 0.000 0.423 0.250
O2 O 0.113 0.275 0.588
O3 O 0.183 0.054 0.904
```

Calculated values
**Energy relative to the elements, uncorrected**: -2565 meV per atom
**Size of the total moment**: 3.3 μB/cell
**Fermi-level density of states**: 0.30 states/eV/atom